1.
This record from Alexandria describes an optimized crystal structure of Zn6Ir. The functional is PBE-GGA.

Calculated values
Density of states at the Fermi level in states/eV/cell: 2.79
Electronic total energy in eV for the cell shown: -35.13
Magnetic moment in μB per formula unit: 0.00

Geometry as POSCAR:
```
Zn6Ir
1.0
-4.4223 -1.1382 2.4984
0.3488 -3.9825 -3.3335
4.2238 -4.2626 5.5344
Zn Ir
12 2
direct
0.1987 0.1987 0.5008 Zn
0.2883 0.7117 0.5000 Zn
0.0003 0.4986 0.2500 Zn
0.2883 0.7117 0.0000 Zn
0.1987 0.1987 0.9992 Zn
0.4986 0.0003 0.2500 Zn
0.7117 0.2883 0.5000 Zn
0.7117 0.2883 0.0000 Zn
0.5014 0.9997 0.7500 Zn
0.8013 0.8013 0.4992 Zn
0.8013 0.8013 0.0008 Zn
0.9997 0.5014 0.7500 Zn
0.5004 0.5004 0.2500 Ir
0.4996 0.4996 0.7500 Ir
```



2.
This record from Alexandria describes an optimized crystal structure of PmPrHoAg. The functional is PBE-GGA.

Calculated values
Density of states at the Fermi level in states/eV/cell: 5.64
Electronic total energy in eV for the cell shown: -17.46
Magnetic moment in μB per formula unit: 0.00

Geometry as POSCAR:
```
PmPrHoAg
1.0
-3.2634 -0.4520 -1.6206
0.7532 -3.5550 -0.5251
-3.6210 -1.9235 7.8281
Pm Pr Ho Ag
1 1 1 1
direct
0.5000 0.5000 0.7818 Pm
0.0000 0.0000 0.0780 Pr
0.5000 0.5000 0.3665 Ho
0.0000 0.0000 0.5583 Ag
```



3.
This record from Alexandria describes an optimized crystal structure of Hg6IBr2O2. The functional is PBE-GGA.

Calculated values
Density of states at the Fermi level in states/eV/cell: 2.78
Magnetic moment in μB per formula unit: 0.00
Formation energy without anion corrections in eV/f.u.: -2.69

Geometry as POSCAR:
```
Hg6IBr2O2
1.0
0.7490 -3.0190 -7.7315
2.7712 -8.1748 -2.6203
-7.9434 1.4601 2.6655
I Br Hg O
1 2 6 2
direct
0.5000 0.0000 0.5000 I
0.6666 0.6299 0.8346 Br
0.3334 0.3701 0.1654 Br
0.8163 0.6701 0.6593 Hg
0.0327 0.8689 0.5532 Hg
0.3573 0.5555 0.8595 Hg
0.1837 0.3299 0.3407 Hg
0.9673 0.1311 0.4468 Hg
0.6427 0.4445 0.1405 Hg
0.0960 0.6469 0.6400 O
0.9040 0.3531 0.3600 O
```



4.
This record from Alexandria describes an optimized crystal structure of MnAu2Se. The functional is PBE-GGA.

Calculated values
Density of states at the Fermi level in states/eV/cell: 1.82
Magnetic moment in μB per formula unit: 4.64
Formation energy without anion corrections in eV/f.u.: 0.60

Geometry as POSCAR:
```
MnAu2Se
1.0
-2.4142 3.9659 0.8417
-1.6674 -0.0363 -4.4140
-0.5682 -3.7653 2.7865
Se Au Mn
1 2 1
direct
0.7500 0.2500 0.5000 Se
0.2500 0.7500 0.5000 Au
0.0000 0.0000 0.0000 Au
0.5000 0.5000 0.0000 Mn
```



5.
This record from Alexandria describes an optimized crystal structure of Li2CrCd. The functional is PBE-GGA.

Calculated values
Density of states at the Fermi level in states/eV/cell: 2.97
Electronic total energy in eV for the cell shown: -13.54
Magnetic moment in μB per formula unit: 4.26

Geometry as POSCAR:
```
Li2CrCd
1.0
-2.1194 -2.3167 3.4672
-1.4954 -4.3790 -0.6847
2.1750 -3.5694 2.0998
Cr Cd Li
1 1 2
direct
0.7500 0.7500 0.7500 Cr
0.5000 0.5000 0.5000 Cd
0.2500 0.2500 0.2500 Li
0.0000 0.0000 0.0000 Li
```



6.
This record from Alexandria describes an optimized crystal structure of Pt3Au. The functional is PBE-GGA.

Calculated values
Density of states at the Fermi level in states/eV/cell: 4.17
Electronic total energy in eV for the cell shown: -21.48
Magnetic moment in μB per formula unit: 0.00

Geometry as POSCAR:
```
Pt3Au
1.0
9.5919 0.0152 0.0089
9.1760 2.7938 0.0089
9.1760 1.3734 2.4330
Pt Au
3 1
direct
0.5000 0.5000 0.5000 Pt
0.2484 0.2484 0.2484 Pt
0.7516 0.7516 0.7516 Pt
0.0000 0.0000 0.0000 Au
```



7.
This record from Alexandria describes an optimized crystal structure of Dy4Sb2Ru. The functional is PBE-GGA.

Calculated values
Density of states at the Fermi level in states/eV/cell: 5.46
Magnetic moment in μB per formula unit: 0.00
Formation energy without anion corrections in eV/f.u.: -4.19

Geometry as POSCAR:
```
Dy4Sb2Ru
1.0
-3.9714 0.8092 1.8329
-3.1004 -0.3207 -6.5762
2.5812 -6.3340 2.9919
Dy Ru Sb
4 1 2
direct
0.5954 0.2841 0.1909 Dy
0.4046 0.7159 0.8091 Dy
0.8799 0.2385 0.7598 Dy
0.1201 0.7615 0.2402 Dy
0.0000 0.0000 0.0000 Ru
0.2298 0.2330 0.4597 Sb
0.7702 0.7670 0.5403 Sb
```



8.
This record from Alexandria describes an optimized crystal structure of AlSiAg3. The functional is PBE-GGA.

Calculated values
Density of states at the Fermi level in states/eV/cell: 1.63
Magnetic moment in μB per formula unit: 0.00
Formation energy without anion corrections in eV/f.u.: 3.83

Geometry as POSCAR:
```
AlSiAg3
1.0
4.8287 0.0000 0.0000
0.0000 4.8287 0.0000
0.0000 0.0000 4.8287
Si Ag Al
1 3 1
direct
0.5000 0.5000 0.5000 Si
0.0000 0.5000 0.0000 Ag
0.5000 0.0000 0.0000 Ag
0.0000 0.0000 0.5000 Ag
0.0000 0.0000 0.0000 Al
```



9.
This record from Alexandria describes an optimized crystal structure of LiSc2Pb5. The functional is PBE-GGA.

Calculated values
Density of states at the Fermi level in states/eV/cell: 4.90
Electronic total energy in eV for the cell shown: -34.67
Magnetic moment in μB per formula unit: 0.00

Geometry as POSCAR:
```
LiSc2Pb5
1.0
-1.5585 4.5304 4.3828
-5.0094 -2.0721 -3.5742
2.2766 -5.1285 3.2681
Sc Li Pb
2 1 5
direct
0.2777 0.7779 0.5001 Sc
0.7777 0.2779 0.4999 Sc
0.7785 0.7784 0.0000 Li
0.2775 0.2773 0.0000 Pb
0.7776 0.7778 0.4996 Pb
0.7779 0.2781 0.0000 Pb
0.2781 0.7776 0.0000 Pb
0.2780 0.2782 0.5004 Pb
```



10.
This record from Alexandria describes an optimized crystal structure of PmMg2Pd9. The functional is PBE-GGA.

Calculated values
Density of states at the Fermi level in states/eV/cell: 12.90
Electronic total energy in eV for the cell shown: -61.47
Magnetic moment in μB per formula unit: 0.00

Geometry as POSCAR:
```
PmMg2Pd9
1.0
4.0849 0.0000 0.0000
0.0000 4.0849 0.0000
0.0000 0.0000 11.9129
Pd Pm Mg
9 1 2
direct
0.0000 0.5000 0.8194 Pd
0.5000 0.0000 0.5000 Pd
0.5000 0.5000 0.0000 Pd
0.0000 0.5000 0.1806 Pd
0.5000 0.0000 0.8194 Pd
0.5000 0.0000 0.1806 Pd
0.0000 0.5000 0.5000 Pd
0.5000 0.5000 0.3404 Pd
0.5000 0.5000 0.6596 Pd
0.0000 0.0000 0.0000 Pm
0.0000 0.0000 0.3413 Mg
0.0000 0.0000 0.6587 Mg
```



11.
This record from Alexandria describes an optimized crystal structure of MgSbCl. The functional is PBE-GGA.

Calculated values
Density of states at the Fermi level in states/eV/cell: 1.17
Magnetic moment in μB per formula unit: 0.00
Formation energy without anion corrections in eV/f.u.: -2.20

Geometry as POSCAR:
```
MgSbCl
1.0
8.3975 0.2015 -0.1835
7.6638 3.3463 -0.0548
0.7337 -0.1667 3.1430
Sb Mg Cl
1 1 1
direct
0.7106 0.7106 0.2894 Sb
0.3510 0.3510 0.6490 Mg
0.9384 0.9384 0.0616 Cl
```



12.
This record from Alexandria describes an optimized crystal structure of CuPC. The functional is PBE-GGA.

Calculated values
Density of states at the Fermi level in states/eV/cell: 0.09
Electronic total energy in eV for the cell shown: -53.96
Magnetic moment in μB per formula unit: 0.00

Geometry as POSCAR:
```
CuPC
1.0
-2.5198 1.3176 -0.5496
0.8874 -2.1862 -1.6794
-6.9681 -9.6320 8.8562
C Cu P
3 3 3
direct
0.3333 0.6667 0.8886 C
0.6667 0.3333 0.5553 C
0.0000 0.0000 0.2220 C
0.3333 0.6667 0.7550 Cu
0.0000 0.0000 0.0883 Cu
0.6667 0.3333 0.4216 Cu
0.6667 0.3333 0.2715 P
0.3333 0.6667 0.6048 P
0.0000 0.0000 0.9382 P
```